# VP3Ir | Alexandria via LeMat-Bulk | GGA-PBE | optimized geometry
# Calculated density in g/cm³: 5.66
# Raw total energy in eV/atom: -5.945
# ΔH_f (0 K) in eV/f.u.: 4.5
# ΔE to the lowest computed polymorph in eV/atom: 0.082
# DOS at the Fermi energy in states/eV per atom: 1.135
data_VP3Ir
_cell_length_a 4.619
_cell_length_b 4.619
_cell_length_c 4.619
_cell_angle_alpha 90.00
_cell_angle_beta 90.00
_cell_angle_gamma 90.00
_space_group_name_H-M_alt 'P m -3 m'
_space_group_IT_number 221
_space_group_name_Hall '-P 4 2 3'
loop_
_atom_site_label
_atom_site_fract_x
_atom_site_fract_y
_atom_site_fract_z
V1 0.000 0.000 0.000
P1 0.000 0.500 0.500
Ir1 0.500 0.500 0.500

***

# VPIr3 | Alexandria via LeMat-Bulk | GGA-PBE | optimized geometry
# Calculated density in g/cm³: 12.96
# Raw total energy in eV/atom: -7.698
# ΔH_f (0 K) in eV/f.u.: 2.6
# ΔE to the lowest computed polymorph in eV/atom: 0.000
# DOS at the Fermi energy in states/eV per atom: 0.911
data_VPIr3
_cell_length_a 4.386
_cell_length_b 4.386
_cell_length_c 4.386
_cell_angle_alpha 90.00
_cell_angle_beta 90.00
_cell_angle_gamma 90.00
_space_group_name_H-M_alt 'P m -3 m'
_space_group_IT_number 221
_space_group_name_Hall '-P 4 2 3'
loop_
_atom_site_label
_atom_site_fract_x
_atom_site_fract_y
_atom_site_fract_z
V1 0.000 0.000 0.000
P1 0.500 0.500 0.500
Ir1 0.000 0.500 0.500

***

# V2PIr | Alexandria via LeMat-Bulk | GGA-PBE | optimized geometry
# Calculated density in g/cm³: 10.09
# Raw total energy in eV/atom: -8.378
# ΔH_f (0 K) in eV/f.u.: -1.0
# DOS at the Fermi energy in states/eV per atom: 1.240
data_V2PIr
_cell_length_a 2.7372
_cell_length_b 2.7372
_cell_length_c 24.7348
_cell_angle_alpha 90.00
_cell_angle_beta 90.00
_cell_angle_gamma 120.00
_space_group_name_H-M_alt 'R -3 m'
_space_group_IT_number 166
_space_group_name_Hall '-R 3 2"'
loop_
_atom_site_label
_atom_site_fract_x
_atom_site_fract_y
_atom_site_fract_z
V1 0.0000 0.0000 0.2455
P1 0.0000 0.0000 0.5000
Ir1 0.0000 0.0000 0.0000